(1)
AlCu2Sb | PBE-GGA | relaxed

Total magnetic moment in μB per cell: 0.00
Formation energy without anion corrections in meV per atom: 128.6

The structure in CIF format:
```
data_AlCu2Sb
_chemical_formula_sum 'Al4 Cu8 Sb4'
_symmetry_space_group_name_H-M 'I -4 2 d'
_symmetry_Int_Tables_number 122
_symmetry_space_group_name_Hall 'I -4 2bw'
_cell_length_a 4.166
_cell_length_b 4.166
_cell_length_c 16.788
_cell_angle_alpha 90.00
_cell_angle_beta 90.00
_cell_angle_gamma 90.00
loop_
_atom_site_label
_atom_site_fract_x
_atom_site_fract_y
_atom_site_fract_z
Al1 0.000 0.000 0.000
Cu1 0.200 0.250 0.125
Sb1 0.000 0.000 0.500
```

---

(2)
Ce2DyPb | PBE-GGA | relaxed

DFT formation energy in eV per atom: -0.284
Total magnetic moment in μB per cell: 0.00

The structure in CIF format:
```
data_Ce2DyPb
_chemical_formula_sum 'Ce4 Dy2 Pb2'
_symmetry_space_group_name_H-M 'P 1 21/m 1'
_symmetry_Int_Tables_number 11
_cell_length_a 4.504
_cell_length_b 4.390
_cell_length_c 11.589
_cell_angle_alpha 90.00
_cell_angle_beta 99.79
_cell_angle_gamma 90.00
loop_
_symmetry_equiv_pos_as_xyz
'x,y,z'
'-x,-y,-z'
'-x,y+1/2,-z'
'x,-y+1/2,z'
loop_
_atom_site_label
_atom_site_fract_x
_atom_site_fract_y
_atom_site_fract_z
Ce1 0.002 0.250 0.385
Ce2 0.396 0.750 0.386
Dy1 0.306 0.250 0.112
Pb1 0.178 0.250 0.834
```

---

(3)
Dy3Y7Ho | PBE-GGA | relaxed

DFT formation energy in eV per atom: 0.198
Total magnetic moment in μB per cell: 0.00

The structure in CIF format:
```
data_Dy3Y7Ho
_chemical_formula_sum 'Dy3 Y7 Ho1'
_symmetry_space_group_name_H-M 'P 3 m 1'
_symmetry_Int_Tables_number 156
_cell_length_a 7.0758
_cell_length_b 7.0758
_cell_length_c 8.5911
_cell_angle_alpha 90.00
_cell_angle_beta 90.00
_cell_angle_gamma 120.00
loop_
_symmetry_equiv_pos_as_xyz
'x,y,z'
'-y,x-y,z'
'-x+y,-x,z'
'-y,-x,z'
'-x+y,y,z'
'x,x-y,z'
loop_
_atom_site_label
_atom_site_fract_x
_atom_site_fract_y
_atom_site_fract_z
Dy1 0.0006 0.5003 0.0000
Y1 0.1680 0.3360 0.3343
Y2 0.3354 0.1677 0.6677
Y3 0.6667 0.3333 0.3358
Ho1 0.3333 0.6667 0.6653
```